[1]
First-principles (meta-GGA SCAN) data for La3NbZn at its PBEsol-relaxed geometry, as listed in the Alexandria database.

a b c (Å): 5.5365 5.5365 5.5365
angles (deg): 90.00 90.00 90.00
Last column: nearest neighbours and their distance in Å.
Space group Pm-3m (No. 221)
Inequivalent atoms, fractional coordinates:
La 0.0000 0.0000 0.5000 [3 per cell]  2 Zn 2.77
Nb 0.5000 0.5000 0.5000 [1 per cell]  12 La 3.91
Zn 0.0000 0.0000 0.0000 [1 per cell]  6 La 2.77

Crystal system: cubic



[2]
First-principles (meta-GGA SCAN) data for LaNdTl2 at its PBEsol-relaxed geometry, as listed in the Alexandria database.

a b c (Å): 7.7457 7.7457 7.7457
angles (deg): 90.00 90.00 90.00
Last column: nearest neighbours and their distance in Å.
Space group Fm-3m (No. 225)
Inequivalent atoms, fractional coordinates:
La 0.0000 0.0000 0.0000 [4 per cell]  8 Tl 3.35
Nd 0.0000 0.0000 0.5000 [4 per cell]  8 Tl 3.35
Tl 0.2500 0.2500 0.2500 [8 per cell]  4 La 3.35, 4 Nd 3.35

Crystal system: cubic



Number 1: electronic total energy -2.538 Ry/atom, formation energy 0.661 eV per atom, N(E_F) 7.794 states/eV/cell. Number 2: electronic total energy -4.298 Ry/atom, formation energy -0.623 eV per atom, N(E_F) 12.877 states/eV/cell.